[1]
Ag2PO4 | GGA-PBE | relaxed

Output
E_form (uncorrected)   -1.117 eV per atom
Relative energy among the computed polymorphs   0.000 eV per atom
Size of the total moment   0.000 μB per atom
Calculated volume   500.8 Å³ per cell
Uncorrected energy   -5.54 eV/atom

Geometry as extended XYZ:
```
28
Lattice="-8.794 1.685 1.536 1.074 -1.027 7.275 1.520 7.227 0.772" Properties=species:S:1:pos:R:3 pbc="T T T"
Ag -3.649 2.630 3.088
Ag 1.426 5.492 2.139
Ag 1.167 0.708 5.908
Ag -2.551 5.254 6.495
Ag -3.194 2.207 6.159
Ag 2.045 4.888 6.344
Ag -3.006 5.677 3.425
Ag 0.549 1.312 1.703
P -1.439 4.035 0.770
P -5.836 4.877 1.538
P -6.058 0.750 4.789
P -1.661 -0.092 4.021
O -2.067 4.009 2.194
O -4.830 4.542 2.677
O 0.184 1.579 7.765
O -5.312 5.279 9.090
O -6.920 3.761 1.546
O -0.354 5.150 0.765
O -4.135 3.873 7.389
O -1.371 3.346 6.907
O 0.864 6.796 5.932
O -6.685 0.728 6.213
O -1.226 6.019 4.799
O -4.974 1.866 4.781
O -3.989 6.548 5.284
O -2.210 1.336 4.302
O -5.545 8.312 4.423
O -1.033 -0.067 2.598
```

[2]
NaTl2As2O6 | GGA-PBE | relaxed

Output
E_form (uncorrected)   -1.076 eV per atom
Size of the total moment   0.000 μB per atom
Calculated volume   193.9 Å³ per cell
Uncorrected energy   -5.18 eV/atom

Geometry as extended XYZ:
```
11
Lattice="-0.490 4.700 3.906 -4.177 -0.651 -4.553 -0.295 -4.441 5.308" Properties=species:S:1:pos:R:3 pbc="T T T"
Na -0.392 0.130 4.607
Tl -2.140 2.227 1.863
Tl -2.822 -2.620 2.798
As -4.722 0.418 3.716
As -0.240 -0.810 0.945
O -3.021 0.596 3.715
O -3.749 -0.751 -2.189
O -0.946 -2.202 4.721
O -1.214 0.359 6.850
O -4.016 1.810 -0.061
O -1.941 -0.988 0.946
```

[3]
K2IrPt | GGA-PBE | relaxed

Output
Relative energy among the computed polymorphs   0.957 eV per atom
DFT formation energy   1.196 eV/atom
Size of the total moment   0.250 μB per atom
Calculated volume   100.4 Å³ per cell
Uncorrected energy   -3.08 eV/atom

Geometry as extended XYZ:
```
4
Lattice="0.000 3.689 3.689 3.689 0.000 3.689 3.689 3.689 0.000" Properties=species:S:1:pos:R:3 pbc="T T T"
K 1.844 1.844 1.844
K 5.533 5.533 5.533
Ir 0.000 0.000 0.000
Pt 3.689 3.689 3.689
```

[4]
AsIrW | GGA-PBE | relaxed

Output
Relative energy among the computed polymorphs   0.048 eV per atom
DFT formation energy   0.137 eV/atom
Size of the total moment   0.000 μB per atom
Calculated volume   46.9 Å³ per cell
Uncorrected energy   -8.68 eV/atom

Geometry as extended XYZ:
```
3
Lattice="2.886 0.000 0.000 -1.443 2.500 0.000 0.000 0.000 6.503" Properties=species:S:1:pos:R:3 pbc="T T T"
As 0.000 0.000 0.002
Ir 1.443 0.833 2.197
W 0.000 1.667 4.304
```